Record 1
VASP calculation (PBE) on a relaxed MgBeAs2 crystal.

The structure in POSCAR format:
```
MgBeAs2
1.0
3.264 0.000 0.000
0.000 3.264 0.000
0.000 0.000 7.149
Be As Mg
1 2 1
Cartesian
0.000 0.000 2.156
0.000 0.000 7.062
1.632 1.632 3.025
1.632 1.632 5.630
```

Values from the calculation:
The value obtained for the offset from the most stable computed form is 104 meV/atom. As for the symmetry: P4mm. The calculation puts the density of states at the Fermi level at 1.6 states/eV/cell.

Record 2
VASP calculation (PBE) on a relaxed MgBeAs2 crystal.

The structure in POSCAR format:
```
MgBeAs2
1.0
-1.604 -3.566 -2.145
3.501 1.066 -2.549
2.512 -2.682 0.996
Be As Mg
1 2 1
Cartesian
0.454 -3.124 -0.575
0.000 0.000 0.000
0.948 -1.250 -2.347
3.007 -0.808 -0.777
```

Values from the calculation:
The value obtained for the offset from the most stable computed form is 318 meV/atom. As for the symmetry: C2/m. The calculation puts the density of states at the Fermi level at 1.2 states/eV/cell.

Record 3
VASP calculation (PBE) on a relaxed MgBe2As crystal.

The structure in POSCAR format:
```
MgBe2As
1.0
4.850 -0.005 -0.019
1.979 4.428 0.019
-3.403 -2.230 2.641
Be As Mg
2 1 1
Cartesian
0.001 0.000 0.000
3.414 2.211 0.000
0.995 2.205 1.330
2.431 -0.012 1.311
```

Values from the calculation:
The value obtained for the offset from the most stable computed form is 264 meV/atom. As for the symmetry: I4/mmm. The calculation puts the density of states at the Fermi level at 1.4 states/eV/cell.

Record 4
VASP calculation (PBE) on a relaxed MgBeAs2 crystal.

The structure in POSCAR format:
```
MgBeAs2
1.0
4.098 0.004 -0.001
2.507 3.241 -0.001
1.327 0.652 5.531
Be As Mg
1 2 1
Cartesian
3.750 1.843 2.915
6.804 3.343 1.490
5.729 2.815 3.804
2.221 1.091 0.081
```

Values from the calculation:
The value obtained for the offset from the most stable computed form is 0 meV/atom. As for the symmetry: Cm. The calculation puts the density of states at the Fermi level at 1.2 states/eV/cell.

Record 5
VASP calculation (PBE) on a relaxed Mg3BeAs crystal.

The structure in POSCAR format:
```
Mg3BeAs
1.0
4.698 0.000 0.000
0.000 4.698 0.000
0.000 0.000 4.698
Be As Mg
1 1 3
Cartesian
0.000 0.000 0.000
2.349 2.349 2.349
0.000 2.349 0.000
0.000 0.000 2.349
2.349 0.000 0.000
```

Values from the calculation:
The value obtained for the offset from the most stable computed form is 0 meV/atom. As for the symmetry: Pm-3m. The calculation puts the density of states at the Fermi level at 3.7 states/eV/cell.

Record 6
VASP calculation (PBE) on a relaxed MgBeAs2 crystal.

The structure in POSCAR format:
```
MgBeAs2
1.0
4.936 0.018 -0.011
0.841 4.841 -0.014
-2.151 -3.313 2.959
Be As Mg
1 2 1
Cartesian
2.836 -0.432 1.468
5.470 4.608 -0.017
1.043 -0.631 2.939
0.789 1.979 1.467
```

Values from the calculation:
The value obtained for the offset from the most stable computed form is 214 meV/atom. As for the symmetry: C2/m. The calculation puts the density of states at the Fermi level at 1.8 states/eV/cell.

Record 7
VASP calculation (PBE) on a relaxed MgBeAs2 crystal.

The structure in POSCAR format:
```
MgBeAs2
1.0
4.604 0.000 0.000
2.302 3.987 0.000
2.302 1.329 3.759
Be As Mg
1 2 1
Cartesian
4.604 2.658 1.879
0.000 0.000 0.000
2.302 1.329 0.940
6.905 3.987 2.819
```

Values from the calculation:
The value obtained for the offset from the most stable computed form is 562 meV/atom. As for the symmetry: F-43m. The calculation puts the density of states at the Fermi level at 1.4 states/eV/cell.

Record 8
VASP calculation (PBE) on a relaxed MgBe2As crystal.

The structure in POSCAR format:
```
MgBe2As
1.0
7.083 0.000 0.000
0.000 7.083 0.000
3.542 3.542 2.551
Be As Mg
4 2 2
Cartesian
5.794 1.771 0.638
1.289 5.312 0.638
5.312 4.831 1.913
8.854 9.336 1.913
0.000 0.000 0.000
7.083 3.542 1.275
3.542 3.542 0.000
3.542 7.083 1.275
```

Values from the calculation:
The value obtained for the offset from the most stable computed form is 245 meV/atom. As for the symmetry: I-42d. The calculation puts the density of states at the Fermi level at 4.3 states/eV/cell.

Record 9
VASP calculation (PBE) on a relaxed MgBe2As crystal.

The structure in POSCAR format:
```
MgBe2As
1.0
-0.059 -1.014 -4.892
-1.914 -2.841 -3.637
-3.268 3.959 0.932
Be As Mg
2 1 1
Cartesian
-3.046 3.374 0.408
-2.842 0.637 -3.274
-1.310 0.026 -1.899
-3.931 0.078 -5.698
```

Values from the calculation:
The value obtained for the offset from the most stable computed form is 167 meV/atom. As for the symmetry: C2/m. The calculation puts the density of states at the Fermi level at 0.9 states/eV/cell.

Record 10
VASP calculation (PBE) on a relaxed MgBeAs2 crystal.

The structure in POSCAR format:
```
MgBeAs2
1.0
3.460 0.000 0.000
0.000 3.460 0.000
0.000 0.000 5.671
Be As Mg
1 2 1
Cartesian
1.730 1.730 1.418
0.000 0.000 0.177
0.000 0.000 2.659
1.730 1.730 4.253
```

Values from the calculation:
The value obtained for the offset from the most stable computed form is 318 meV/atom. As for the symmetry: P4/mmm. The calculation puts the density of states at the Fermi level at 1.8 states/eV/cell.

Record 11
VASP calculation (PBE) on a relaxed MgBeAs2 crystal.

The structure in POSCAR format:
```
MgBeAs2
1.0
-1.140 -2.544 2.656
1.777 -3.300 0.883
3.315 1.443 4.835
Be As Mg
1 2 1
Cartesian
2.963 -3.301 6.281
3.142 1.362 4.586
2.148 -2.120 4.436
0.988 -1.100 2.094
```

Values from the calculation:
The value obtained for the offset from the most stable computed form is 108 meV/atom. As for the symmetry: C2/m. The calculation puts the density of states at the Fermi level at 1.6 states/eV/cell.

Record 12
VASP calculation (PBE) on a relaxed MgBe2As crystal.

The structure in POSCAR format:
```
MgBe2As
1.0
-1.955 -0.637 -3.051
2.615 -2.537 -1.146
-2.246 -3.273 2.123
Be As Mg
2 1 1
Cartesian
-0.039 -0.059 0.038
-1.566 -1.175 -0.970
-0.054 -5.319 -1.074
0.257 -2.799 0.420
```

Values from the calculation:
The value obtained for the offset from the most stable computed form is 39 meV/atom. As for the symmetry: Pmm2. The calculation puts the density of states at the Fermi level at 0.3 states/eV/cell.

Record 13
VASP calculation (PBE) on a relaxed MgBeAs2 crystal.

The structure in POSCAR format:
```
MgBeAs2
1.0
-0.364 -4.396 -0.313
2.458 1.051 -3.522
2.971 -0.386 1.958
Be As Mg
1 2 1
Cartesian
1.303 -2.391 0.822
0.000 0.000 0.000
1.047 -1.672 -1.918
2.714 0.333 -0.782
```

Values from the calculation:
The value obtained for the offset from the most stable computed form is 332 meV/atom. As for the symmetry: Cmmm. The calculation puts the density of states at the Fermi level at 0.9 states/eV/cell.

Number 1: E_form -0.05 eV/atom. Number 2: E_form 0.16 eV/atom. Number 3: E_form 0.36 eV/atom. Number 4: E_form -0.16 eV/atom. Number 5: E_form 0.29 eV/atom. Number 6: E_form 0.06 eV/atom. Number 7: E_form 0.41 eV/atom. Number 8: E_form 0.34 eV/atom. Number 9: E_form 0.26 eV/atom. Number 10: E_form 0.16 eV/atom. Number 11: E_form -0.05 eV/atom. Number 12: E_form 0.13 eV/atom. Number 13: E_form 0.18 eV/atom.